Computed, not measured: a relaxed structure of FeMoBr at the PBE level of DFT.

Unit cell a=6.1541 b=6.1536 c=3.0317 alpha=75.75 beta=75.73 gamma=28.52
Last column: nearest neighbours and their distance in Å.
Fractional positions:
1 Br 0.0186 0.0186 0.9814  4 Mo 2.83, 4 Br 3.03
2 Fe 0.3021 0.3021 0.6978  4 Mo 2.57
3 Mo 0.6792 0.6792 0.3208  4 Fe 2.57, 4 Br 2.83

Values from the calculation:
electronic total energy	-19.1	eV per cell
E above lowest polymorph	12.0	kJ per mole of atoms